[1]
Computed, not measured: crystalline CeNd2Ga4Pt3 at its relaxed geometry at the GGA-PBE level of DFT.

The structure in CIF format:
```
data_CeNd2Ga4Pt3
_cell_length_a 4.2823
_cell_length_b 4.2823
_cell_length_c 11.7242
_cell_angle_alpha 90.00
_cell_angle_beta 90.00
_cell_angle_gamma 90.00
_space_group_name_H-M_alt 'P -4 m 2'
_space_group_IT_number 115
loop_
_space_group_symop_operation_xyz
'x,y,z'
'y,-x,-z'
'-x,-y,z'
'-y,x,-z'
'-x,y,z'
'-y,-x,-z'
'x,-y,z'
'y,x,-z'
loop_
_atom_site_label
_atom_site_fract_x
_atom_site_fract_y
_atom_site_fract_z
Ce1 0.0000 0.0000 0.0000
Nd1 0.0000 0.5000 0.7228
Ga1 0.0000 0.0000 0.5000
Ga2 0.0000 0.5000 0.1717
Ga3 0.5000 0.5000 0.5000
Pt1 0.0000 0.5000 0.3809
Pt2 0.5000 0.5000 0.0000
```

For the energy of formation from the pure elements, the calculation gives -0.82 eV/atom. The volume is 215.00 Å³/f.u. For the size of the total moment, the calculation gives 0.49 μB/cell.

[2]
Computed, not measured: crystalline CeNdGaRh at its relaxed geometry at the GGA-PBE level of DFT.

The structure in CIF format:
```
data_CeNdGaRh
_cell_length_a 3.8657
_cell_length_b 4.2503
_cell_length_c 11.6816
_cell_angle_alpha 90.00
_cell_angle_beta 90.00
_cell_angle_gamma 90.00
_space_group_name_H-M_alt 'A m m 2'
_space_group_IT_number 38
loop_
_space_group_symop_operation_xyz
'x,y,z'
'-x,-y,z'
'-x,y,z'
'x,-y,z'
'x,y+1/2,z+1/2'
'-x,-y+1/2,z+1/2'
'-x,y+1/2,z+1/2'
'x,-y+1/2,z+1/2'
loop_
_atom_site_label
_atom_site_fract_x
_atom_site_fract_y
_atom_site_fract_z
Ce1 0.0000 0.0000 0.0000
Nd1 0.5000 0.0000 0.7206
Ga1 0.0000 0.0000 0.3035
Rh1 0.5000 0.0000 0.4611
```

For the energy of formation from the pure elements, the calculation gives -0.66 eV/atom. The volume is 95.97 Å³/f.u. Its excess energy over the best structure of this formula in the dataset is 0 meV per atom. For the size of the total moment, the calculation gives 0.50 μB/cell.

[3]
Computed, not measured: crystalline CeNdGa2Rh2 at its relaxed geometry at the GGA-PBE level of DFT.

The structure in CIF format:
```
data_CeNdGa2Rh2
_cell_length_a 4.4360
_cell_length_b 4.4360
_cell_length_c 7.2833
_cell_angle_alpha 90.00
_cell_angle_beta 90.00
_cell_angle_gamma 120.00
_space_group_name_H-M_alt 'P -3 m 1'
_space_group_IT_number 164
_space_group_name_Hall '-P 3 2"'
loop_
_atom_site_label
_atom_site_fract_x
_atom_site_fract_y
_atom_site_fract_z
Ce1 0.0000 0.0000 0.0000
Nd1 0.0000 0.0000 0.5000
Ga1 0.3333 0.6667 0.7561
Rh1 0.3333 0.6667 0.2208
```

For the energy of formation from the pure elements, the calculation gives -0.77 eV/atom. The volume is 124.12 Å³/f.u. For the size of the total moment, the calculation gives 0.00 μB/cell.

[4]
Computed, not measured: crystalline CeNdGaRh at its relaxed geometry at the GGA-PBE level of DFT.

The structure in CIF format:
```
data_CeNdGaRh
_cell_length_a 7.1986
_cell_length_b 7.1986
_cell_length_c 7.1986
_cell_angle_alpha 90.00
_cell_angle_beta 90.00
_cell_angle_gamma 90.00
_space_group_name_H-M_alt 'F -4 3 m'
_space_group_IT_number 216
_space_group_name_Hall 'F -4 2 3'
loop_
_atom_site_label
_atom_site_fract_x
_atom_site_fract_y
_atom_site_fract_z
Ce1 0.0000 0.0000 0.0000
Nd1 0.0000 0.0000 0.5000
Ga1 0.2500 0.2500 0.2500
Rh1 0.2500 0.2500 0.7500
```

For the energy of formation from the pure elements, the calculation gives -0.50 eV/atom. The volume is 93.26 Å³/f.u. Its excess energy over the best structure of this formula in the dataset is 159 meV per atom. For the size of the total moment, the calculation gives 1.80 μB/cell.

[5]
Computed, not measured: crystalline CeNdGaRu at its relaxed geometry at the GGA-PBE level of DFT.

The structure in CIF format:
```
data_CeNdGaRu
_cell_length_a 3.7736
_cell_length_b 4.1731
_cell_length_c 12.0650
_cell_angle_alpha 90.00
_cell_angle_beta 90.00
_cell_angle_gamma 90.00
_space_group_name_H-M_alt 'A m m 2'
_space_group_IT_number 38
loop_
_space_group_symop_operation_xyz
'x,y,z'
'-x,-y,z'
'-x,y,z'
'x,-y,z'
'x,y+1/2,z+1/2'
'-x,-y+1/2,z+1/2'
'-x,y+1/2,z+1/2'
'x,-y+1/2,z+1/2'
loop_
_atom_site_label
_atom_site_fract_x
_atom_site_fract_y
_atom_site_fract_z
Ce1 0.0000 0.0000 0.0000
Nd1 0.5000 0.0000 0.7216
Ga1 0.0000 0.0000 0.3115
Ru1 0.5000 0.0000 0.4642
```

For the energy of formation from the pure elements, the calculation gives -0.48 eV/atom. The volume is 95.00 Å³/f.u. Its excess energy over the best structure of this formula in the dataset is 0 meV per atom. For the size of the total moment, the calculation gives 0.00 μB/cell.

[6]
Computed, not measured: crystalline CeNdGaRu at its relaxed geometry at the GGA-PBE level of DFT.

The structure in CIF format:
```
data_CeNdGaRu
_cell_length_a 7.1541
_cell_length_b 7.1541
_cell_length_c 7.1541
_cell_angle_alpha 90.00
_cell_angle_beta 90.00
_cell_angle_gamma 90.00
_space_group_name_H-M_alt 'F -4 3 m'
_space_group_IT_number 216
_space_group_name_Hall 'F -4 2 3'
loop_
_atom_site_label
_atom_site_fract_x
_atom_site_fract_y
_atom_site_fract_z
Ce1 0.0000 0.0000 0.0000
Nd1 0.0000 0.0000 0.5000
Ga1 0.2500 0.2500 0.7500
Ru1 0.2500 0.2500 0.2500
```

For the energy of formation from the pure elements, the calculation gives -0.29 eV/atom. The volume is 91.54 Å³/f.u. Its excess energy over the best structure of this formula in the dataset is 184 meV per atom. For the size of the total moment, the calculation gives 1.51 μB/cell.

[7]
Computed, not measured: crystalline CeNdGaSi at its relaxed geometry at the GGA-PBE level of DFT.

The structure in CIF format:
```
data_CeNdGaSi
_cell_length_a 7.2857
_cell_length_b 7.2857
_cell_length_c 7.2857
_cell_angle_alpha 90.00
_cell_angle_beta 90.00
_cell_angle_gamma 90.00
_space_group_name_H-M_alt 'F -4 3 m'
_space_group_IT_number 216
_space_group_name_Hall 'F -4 2 3'
loop_
_atom_site_label
_atom_site_fract_x
_atom_site_fract_y
_atom_site_fract_z
Ce1 0.0000 0.0000 0.0000
Nd1 0.0000 0.0000 0.5000
Ga1 0.2500 0.2500 0.7500
Si1 0.2500 0.2500 0.2500
```

The volume is 96.68 Å³/f.u. Its excess energy over the best structure of this formula in the dataset is 183 meV per atom. For the size of the total moment, the calculation gives 4.69 μB/cell. The formation energy from raw total energies is -42.9 kJ/mol of atoms.

[8]
Computed, not measured: crystalline CeNdGaSi at its relaxed geometry at the GGA-PBE level of DFT.

The structure in CIF format:
```
data_CeNdGaSi
_cell_length_a 4.0373
_cell_length_b 4.4053
_cell_length_c 11.1749
_cell_angle_alpha 90.00
_cell_angle_beta 90.00
_cell_angle_gamma 90.00
_space_group_name_H-M_alt 'A m m 2'
_space_group_IT_number 38
loop_
_space_group_symop_operation_xyz
'x,y,z'
'-x,-y,z'
'-x,y,z'
'x,-y,z'
'x,y+1/2,z+1/2'
'-x,-y+1/2,z+1/2'
'-x,y+1/2,z+1/2'
'x,-y+1/2,z+1/2'
loop_
_atom_site_label
_atom_site_fract_x
_atom_site_fract_y
_atom_site_fract_z
Ce1 0.0000 0.0000 0.0000
Nd1 0.5000 0.0000 0.7136
Ga1 0.0000 0.0000 0.2888
Si1 0.5000 0.0000 0.4308
```

The volume is 99.38 Å³/f.u. Its excess energy over the best structure of this formula in the dataset is 0 meV per atom. For the size of the total moment, the calculation gives 2.85 μB/cell. The formation energy from raw total energies is -60.6 kJ/mol of atoms.